Record 1
A plane-wave DFT calculation with GGA-PBE was carried out for a relaxed structure of ZnIO2.

a b c (Å): 3.107 6.712 7.597
angles (deg): 90.00 113.36 90.00
Fractional positions:
I 0.500 0.500 0.000
I 0.500 0.000 0.500
O 0.500 0.691 0.500
Zn 0.000 0.000 0.000
O 0.500 0.191 0.000
O 0.500 0.309 0.500
Zn 0.000 0.500 0.500
O 0.500 0.809 0.000

## Properties
- Mass density: 5122 kg/m3
- E above lowest polymorph: 88 meV per atom

---

Record 2
A plane-wave DFT calculation with GGA-PBE was carried out for a relaxed structure of Ce2CrNiN5.

a b c (Å): 3.244 6.633 9.982
angles (deg): 90.00 90.00 104.15
Site moments in Bohr magnetons follow the coordinates.
Fractional positions:
N 0.061 0.122 0.059  -0.11
Ni 0.531 0.063 0.950  -0.10
N 0.512 0.025 0.270  -0.02
N 0.282 0.564 0.646  -0.03
N 0.323 0.647 0.383  -0.02
Cr 0.191 0.382 0.021  1.22
Ce 0.146 0.293 0.314  0.04
N 0.939 0.878 0.559  -0.11
Cr 0.809 0.618 0.521  1.22
N 0.375 0.749 0.998  -0.01
N 0.677 0.353 0.883  -0.02
Ce 0.894 0.787 0.183  0.01
N 0.488 0.975 0.770  -0.02
N 0.625 0.251 0.498  -0.01
Ce 0.106 0.213 0.683  0.01
N 0.718 0.436 0.146  -0.03
Ni 0.469 0.937 0.450  -0.10
Ce 0.854 0.707 0.814  0.04

## Properties
- Mass density: 7351 kg/m3
- E: -8.349 eV per atom

---

Record 3
A plane-wave DFT calculation with GGA-PBE was carried out for a relaxed structure of CeUSi.

a b c (Å): 3.903 3.903 10.955
angles (deg): 79.74 79.74 60.00
Fractional positions:
U 0.686 0.686 0.943
Ce 0.564 0.564 0.308
Si 0.165 0.165 0.504
Si 0.835 0.835 0.496
Ce 0.436 0.436 0.692
U 0.314 0.314 0.057

## Properties
- Mass density: 9539 kg/m3
- E above lowest polymorph: 15 meV per atom

---

Record 4
A plane-wave DFT calculation with GGA-PBE was carried out for a relaxed structure of La2NdBr4.

a b c (Å): 4.156 11.219 10.941
angles (deg): 72.45 79.05 79.33
Fractional positions:
Nd 0.109 0.920 0.863
La 0.768 0.639 0.825
Br 0.606 0.447 0.341
La 0.668 0.174 0.490
Br 0.394 0.553 0.659
Br 0.291 0.089 0.329
Br 0.054 0.204 0.688
Br 0.946 0.796 0.312
Br 0.157 0.652 0.034
Br 0.843 0.348 0.966
La 0.332 0.826 0.510
Br 0.709 0.911 0.671
Nd 0.891 0.080 0.137
La 0.232 0.361 0.175

## Properties
- Mass density: 5207 kg/m3
- E: -4.436 eV per atom

---

Record 5
A plane-wave DFT calculation with GGA-PBE was carried out for a relaxed structure of SrFePCl2.

a b c (Å): 4.903 4.903 4.343
angles (deg): 90.00 90.00 90.00
Fractional positions:
Fe 0.000 0.000 0.000
Cl 0.000 0.500 0.000
P 0.000 0.000 0.500
Cl 0.500 0.000 0.000
Sr 0.500 0.500 0.500

## Properties
- Mass density: 3902 kg/m3
- E above lowest polymorph: 0 meV per atom

---

Record 6
A plane-wave DFT calculation with GGA-PBE was carried out for a relaxed structure of TbTlO2.

a b c (Å): 3.535 3.535 7.067
angles (deg): 75.51 75.51 60.00
Fractional positions:
Tl 0.485 0.485 0.546
O 0.064 0.064 0.808
Tb 0.665 0.665 0.005
O 0.287 0.287 0.140

## Properties
- Mass density: 8963 kg/m3
- E: -6.567 eV per atom

---

Record 7
A plane-wave DFT calculation with GGA-PBE was carried out for a relaxed structure of ZrZn2Pt2.

a b c (Å): 7.543 7.543 2.838
angles (deg): 90.00 90.00 90.00
Fractional positions:
Zn 0.118 0.382 0.000
Pt 0.680 0.820 0.500
Zn 0.618 0.118 0.000
Pt 0.180 0.680 0.500
Pt 0.320 0.180 0.500
Pt 0.820 0.320 0.500
Zr 0.500 0.500 0.000
Zr 0.000 0.000 0.000
Zn 0.382 0.882 0.000
Zn 0.882 0.618 0.000

## Properties
- Mass density: 12590 kg/m3
- Calculated formation energy: -0.653 eV per atom
- E above lowest polymorph: 79 meV per atom

---

Record 8
A plane-wave DFT calculation with GGA-PBE was carried out for a relaxed structure of MgCd2Mo.

a b c (Å): 2.883 2.883 9.296
angles (deg): 90.00 90.00 90.00
Fractional positions:
Mg 0.000 0.000 0.517
Cd 0.000 0.000 0.983
Mo 0.500 0.500 0.745
Cd 0.500 0.500 0.254

## Properties
- Mass density: 7413 kg/m3
- Calculated formation energy: 0.224 eV per atom

---

DOS(E_F)
In order: 6.50, 2.68, 14.22, 7.63, 3.46, 0.00, 4.69, 1.08
Unit: states/eV/cell